Entry 1:
First-principles (PBE) data for an optimized crystal structure of NaY3S4, as listed in Alexandria via LeMat-Bulk.

Values from the calculation:
SG = Pm-3m, No. 221
Crystal system = cubic
Magnetic moment = 0.0000 μB/atom
Formation energy without anion corrections = -1934 meV/atom

a = 5.552 Å, b = 5.552 Å, c = 5.552 Å
α = 90.00°, β = 90.00°, γ = 90.00°
Element x y z (fractional)
S 0.000 0.500 0.000
S 0.000 0.000 0.500
S 0.500 0.500 0.500
S 0.500 0.000 0.000
Y 0.500 0.000 0.500
Y 0.500 0.500 0.000
Y 0.000 0.500 0.500
Na 0.000 0.000 0.000



Entry 2:
First-principles (PBE) data for an optimized crystal structure of NaYS3, as listed in Alexandria via LeMat-Bulk.

Values from the calculation:
Distance to the lowest polymorph of the same formula = 3.099 eV/f.u.
SG = Pm-3m, No. 221
Crystal system = cubic
Magnetic moment = 0.3886 μB/atom
Formation energy without anion corrections = -229 meV/atom

a = 4.796 Å, b = 4.796 Å, c = 4.796 Å
α = 90.00°, β = 90.00°, γ = 90.00°
Element x y z (fractional)
Na 0.000 0.000 0.000
S 0.000 0.500 0.000
S 0.500 0.000 0.000
S 0.000 0.000 0.500
Y 0.500 0.500 0.500



Entry 3:
First-principles (PBE) data for an optimized crystal structure of NaYS2, as listed in Alexandria via LeMat-Bulk.

Values from the calculation:
SG = I-42d, No. 122
Crystal system = tetragonal
Magnetic moment = 0.0000 μB/atom
Formation energy without anion corrections = -1609 meV/atom

a = 6.398 Å, b = 6.398 Å, c = 7.492 Å
α = 64.72°, β = 64.72°, γ = 90.00°
Element x y z (fractional)
S 0.375 0.348 0.750
S 0.652 0.125 0.250
S 0.875 0.902 0.750
S 0.098 0.625 0.250
Na 0.500 0.500 0.000
Na 0.250 0.750 0.500
Y 0.000 0.000 0.000
Y 0.750 0.250 0.500



Entry 4:
First-principles (PBE) data for an optimized crystal structure of NaYZrS4, as listed in Alexandria via LeMat-Bulk.

Values from the calculation:
SG = P2/m, No. 10
Crystal system = monoclinic
Magnetic moment = 0.0000 μB/atom
Formation energy without anion corrections = -1671 meV/atom

a = 3.862 Å, b = 6.601 Å, c = 7.117 Å
α = 72.45°, β = 90.00°, γ = 90.00°
Element x y z (fractional)
Na 0.000 0.500 0.500
Y 0.500 0.500 0.000
Zr 0.000 0.000 0.000
S 0.000 0.754 0.783
S 0.500 0.778 0.218
S 0.500 0.222 0.782
S 0.000 0.246 0.217



Entry 5:
First-principles (PBE) data for an optimized crystal structure of Na2Y2ZrS6, as listed in Alexandria via LeMat-Bulk.

Values from the calculation:
SG = C2/m, No. 12
Crystal system = monoclinic
Magnetic moment = 0.0000 μB/atom
Formation energy without anion corrections = -1754 meV/atom

a = 6.737 Å, b = 6.737 Å, c = 7.133 Å
α = 99.14°, β = 99.14°, γ = 119.47°
Element x y z (fractional)
S 0.391 0.071 0.719
S 0.609 0.929 0.281
S 0.929 0.609 0.281
S 0.759 0.759 0.718
S 0.071 0.391 0.719
S 0.241 0.241 0.282
Na 0.831 0.169 0.000
Na 0.169 0.831 0.000
Y 0.666 0.334 0.500
Y 0.334 0.666 0.500
Zr 0.000 0.000 0.500



Entry 6:
First-principles (PBE) data for an optimized crystal structure of NaYbS2, as listed in Alexandria via LeMat-Bulk.

Values from the calculation:
SG = R-3m, No. 166
Crystal system = trigonal
Magnetic moment = 0.0000 μB/atom
Formation energy without anion corrections = -1295 meV/atom

a = 4.069 Å, b = 4.069 Å, c = 6.906 Å
α = 72.87°, β = 72.87°, γ = 60.00°
Element x y z (fractional)
Na 0.500 0.500 0.500
S 0.744 0.744 0.768
S 0.256 0.256 0.232
Yb 0.000 0.000 0.000



Entry 7:
First-principles (PBE) data for an optimized crystal structure of Na2Zn3S4, as listed in Alexandria via LeMat-Bulk.

Values from the calculation:
Distance to the lowest polymorph of the same formula = 0.034 eV/f.u.
SG = Pbca, No. 61
Crystal system = orthorhombic
Magnetic moment = 0.0000 μB/atom
Formation energy without anion corrections = -830 meV/atom

a = 6.875 Å, b = 7.299 Å, c = 14.732 Å
α = 90.00°, β = 90.00°, γ = 90.00°
Element x y z (fractional)
S 0.514 0.631 0.221
S 0.486 0.869 0.721
S 0.986 0.131 0.779
S 0.986 0.631 0.721
S 0.731 0.185 0.547
S 0.014 0.369 0.279
S 0.231 0.315 0.547
S 0.769 0.685 0.453
S 0.731 0.685 0.953
S 0.514 0.131 0.279
S 0.269 0.815 0.453
S 0.486 0.369 0.779
S 0.014 0.869 0.221
S 0.769 0.185 0.047
S 0.269 0.315 0.047
S 0.231 0.815 0.953
Zn 0.000 0.500 0.500
Zn 0.675 0.143 0.704
Zn 0.675 0.643 0.796
Zn 0.175 0.857 0.796
Zn 0.325 0.857 0.296
Zn 0.500 0.000 0.500
Zn 0.500 0.500 0.000
Zn 0.825 0.143 0.204
Zn 0.000 0.000 0.000
Zn 0.175 0.357 0.704
Zn 0.325 0.357 0.204
Zn 0.825 0.643 0.296
Na 0.036 0.941 0.601
Na 0.964 0.559 0.101
Na 0.536 0.059 0.899
Na 0.464 0.941 0.101
Na 0.536 0.559 0.601
Na 0.464 0.441 0.399
Na 0.036 0.441 0.899
Na 0.964 0.059 0.399



Entry 8:
First-principles (PBE) data for an optimized crystal structure of Na2Zn2S3, as listed in Alexandria via LeMat-Bulk.

Values from the calculation:
Distance to the lowest polymorph of the same formula = 0.271 eV/f.u.
SG = P2_1/c, No. 14
Crystal system = monoclinic
Magnetic moment = 0.0000 μB/atom
Formation energy without anion corrections = -899 meV/atom

a = 7.133 Å, b = 7.013 Å, c = 7.019 Å
α = 61.10°, β = 90.00°, γ = 90.00°
Element x y z (fractional)
S 0.000 0.000 0.000
S 0.097 0.639 0.740
S 0.597 0.361 0.760
S 0.403 0.639 0.240
S 0.903 0.361 0.260
S 0.500 0.000 0.500
Zn 0.885 0.344 0.927
Zn 0.115 0.656 0.073
Zn 0.385 0.656 0.573
Zn 0.615 0.344 0.427
Na 0.837 0.865 0.403
Na 0.663 0.865 0.903
Na 0.163 0.135 0.597
Na 0.337 0.135 0.097



Entry 9:
First-principles (PBE) data for an optimized crystal structure of NaZnS3, as listed in Alexandria via LeMat-Bulk.

Values from the calculation:
Distance to the lowest polymorph of the same formula = 0.000 eV/f.u.
SG = Pm-3m, No. 221
Crystal system = cubic
Magnetic moment = 0.0000 μB/atom
Formation energy without anion corrections = 39 meV/atom

a = 4.748 Å, b = 4.748 Å, c = 4.748 Å
α = 90.00°, β = 90.00°, γ = 90.00°
Element x y z (fractional)
Na 0.500 0.500 0.500
S 0.500 0.000 0.000
S 0.000 0.000 0.500
S 0.000 0.500 0.000
Zn 0.000 0.000 0.000



Entry 10:
First-principles (PBE) data for an optimized crystal structure of Na6ZnS4, as listed in Alexandria via LeMat-Bulk.

Values from the calculation:
SG = P6_3mc, No. 186
Crystal system = hexagonal
Magnetic moment = 0.0000 μB/atom
Formation energy without anion corrections = -1045 meV/atom

a = 8.976 Å, b = 8.976 Å, c = 6.918 Å
α = 90.00°, β = 90.00°, γ = 120.00°
Element x y z (fractional)
Na 0.062 0.531 0.866
Na 0.148 0.852 0.538
Na 0.531 0.062 0.366
Na 0.296 0.148 0.038
Na 0.704 0.852 0.538
Na 0.148 0.296 0.538
Na 0.852 0.704 0.038
Na 0.852 0.148 0.038
Na 0.938 0.469 0.366
Na 0.469 0.531 0.866
Na 0.531 0.469 0.366
Na 0.469 0.938 0.866
Zn 0.667 0.333 0.748
Zn 0.333 0.667 0.248
S 0.812 0.625 0.642
S 0.188 0.375 0.142
S 0.333 0.667 0.594
S 0.625 0.812 0.142
S 0.667 0.333 0.094
S 0.812 0.188 0.642
S 0.188 0.812 0.142
S 0.375 0.188 0.642



Entry 11:
First-principles (PBE) data for an optimized crystal structure of Na2Zn2S3, as listed in Alexandria via LeMat-Bulk.

Values from the calculation:
Distance to the lowest polymorph of the same formula = 0.263 eV/f.u.
SG = C2/m, No. 12
Crystal system = monoclinic
Magnetic moment = 0.0000 μB/atom
Formation energy without anion corrections = -901 meV/atom

a = 3.884 Å, b = 6.827 Å, c = 6.866 Å
α = 117.60°, β = 106.43°, γ = 90.00°
Element x y z (fractional)
S 0.000 0.000 0.000
S 0.797 0.325 0.594
S 0.203 0.675 0.406
Zn 0.184 0.307 0.369
Zn 0.816 0.693 0.631
Na 0.595 0.845 0.189
Na 0.405 0.155 0.811



Entry 12:
First-principles (PBE) data for an optimized crystal structure of Na2Zn2S3, as listed in Alexandria via LeMat-Bulk.

Values from the calculation:
Distance to the lowest polymorph of the same formula = 0.265 eV/f.u.
SG = P4_32_12, No. 96
Crystal system = tetragonal
Magnetic moment = 0.0000 μB/atom
Formation energy without anion corrections = -900 meV/atom

a = 7.287 Å, b = 7.287 Å, c = 11.466 Å
α = 90.00°, β = 90.00°, γ = 90.00°
Element x y z (fractional)
S 0.688 0.312 0.250
S 0.251 0.542 0.418
S 0.249 0.042 0.332
S 0.958 0.751 0.168
S 0.188 0.188 0.000
S 0.042 0.249 0.668
S 0.542 0.251 0.582
S 0.312 0.688 0.750
S 0.458 0.749 0.082
S 0.751 0.958 0.832
S 0.812 0.812 0.500
S 0.749 0.458 0.918
Zn 0.958 0.216 0.865
Zn 0.458 0.284 0.385
Zn 0.042 0.784 0.365
Zn 0.216 0.958 0.135
Zn 0.284 0.458 0.615
Zn 0.784 0.042 0.635
Zn 0.542 0.716 0.885
Zn 0.716 0.542 0.115
Na 0.542 0.772 0.335
Na 0.772 0.542 0.665
Na 0.728 0.042 0.085
Na 0.042 0.728 0.915
Na 0.458 0.228 0.835
Na 0.228 0.458 0.165
Na 0.958 0.272 0.415
Na 0.272 0.958 0.585



Entry 13:
First-principles (PBE) data for an optimized crystal structure of Na3Zn2S4, as listed in Alexandria via LeMat-Bulk.

Values from the calculation:
SG = C2/m, No. 12
Crystal system = monoclinic
Magnetic moment = 0.0539 μB/atom
Formation energy without anion corrections = -822 meV/atom

a = 3.984 Å, b = 6.699 Å, c = 7.804 Å
α = 113.08°, β = 104.78°, γ = 90.01°
Element x y z (fractional)
Na 0.129 0.531 0.258
Na 0.871 0.469 0.742
Na 0.000 0.000 0.000
S 0.783 0.804 0.566
S 0.217 0.196 0.434
S 0.508 0.719 0.015
S 0.492 0.281 0.985
Zn 0.667 0.973 0.333
Zn 0.333 0.027 0.667



Entry 14:
First-principles (PBE) data for an optimized crystal structure of Na4Zn3S5, as listed in Alexandria via LeMat-Bulk.

Values from the calculation:
SG = Pnma, No. 62
Crystal system = orthorhombic
Magnetic moment = 0.0000 μB/atom
Formation energy without anion corrections = -957 meV/atom

a = 3.924 Å, b = 13.241 Å, c = 18.784 Å
α = 90.00°, β = 90.00°, γ = 90.00°
Element x y z (fractional)
Zn 0.750 0.418 0.634
Zn 0.250 0.582 0.366
Zn 0.250 0.328 0.217
Zn 0.250 0.082 0.134
Zn 0.750 0.792 0.458
Zn 0.750 0.292 0.042
Zn 0.250 0.828 0.283
Zn 0.750 0.672 0.783
Zn 0.250 0.708 0.958
Zn 0.250 0.208 0.542
Zn 0.750 0.918 0.866
Zn 0.750 0.172 0.717
S 0.750 0.115 0.065
S 0.750 0.615 0.435
S 0.750 0.381 0.152
S 0.750 0.659 0.023
S 0.250 0.841 0.523
S 0.250 0.401 0.338
S 0.750 0.599 0.662
S 0.250 0.385 0.565
S 0.250 0.158 0.247
S 0.250 0.658 0.253
S 0.750 0.099 0.838
S 0.250 0.119 0.652
S 0.250 0.885 0.935
S 0.250 0.341 0.977
S 0.750 0.159 0.477
S 0.750 0.842 0.753
S 0.250 0.619 0.848
S 0.750 0.342 0.747
S 0.250 0.901 0.162
S 0.750 0.881 0.348
Na 0.750 0.737 0.164
Na 0.750 0.512 0.262
Na 0.250 0.488 0.738
Na 0.250 0.263 0.836
Na 0.250 0.763 0.664
Na 0.250 0.011 0.419
Na 0.750 0.989 0.581
Na 0.750 0.237 0.336
Na 0.250 0.988 0.762
Na 0.750 0.012 0.238
Na 0.250 0.603 0.548
Na 0.250 0.511 0.081
Na 0.750 0.489 0.919
Na 0.250 0.103 0.952
Na 0.750 0.397 0.452
Na 0.750 0.897 0.048



Entry 15:
First-principles (PBE) data for an optimized crystal structure of NaZn3S3, as listed in Alexandria via LeMat-Bulk.

Values from the calculation:
SG = R-3, No. 148
Crystal system = trigonal
Magnetic moment = 0.0000 μB/atom
Formation energy without anion corrections = -565 meV/atom

a = 7.148 Å, b = 7.148 Å, c = 8.006 Å
α = 63.48°, β = 63.48°, γ = 60.00°
Element x y z (fractional)
Zn 0.794 0.123 0.649
Zn 0.206 0.877 0.351
Zn 0.566 0.206 0.351
Zn 0.877 0.566 0.351
Zn 0.123 0.434 0.649
Zn 0.434 0.794 0.649
S 0.561 0.912 0.279
S 0.912 0.249 0.279
S 0.088 0.751 0.721
S 0.751 0.439 0.721
S 0.439 0.088 0.721
S 0.249 0.561 0.279
Na 0.667 0.667 0.999
Na 0.333 0.333 0.001



Entry 16:
First-principles (PBE) data for an optimized crystal structure of Na2Zn2S3, as listed in Alexandria via LeMat-Bulk.

Values from the calculation:
Distance to the lowest polymorph of the same formula = 0.000 eV/f.u.
SG = C2/c, No. 15
Crystal system = monoclinic
Magnetic moment = 0.0000 μB/atom
Formation energy without anion corrections = -938 meV/atom

a = 9.898 Å, b = 9.898 Å, c = 6.752 Å
α = 70.37°, β = 70.37°, γ = 83.04°
Element x y z (fractional)
S 0.578 0.726 0.929
S 0.422 0.855 0.445
S 0.274 0.422 0.571
S 0.995 0.232 0.443
S 0.768 0.005 0.057
S 0.005 0.768 0.557
S 0.422 0.274 0.071
S 0.726 0.578 0.429
S 0.855 0.422 0.945
S 0.145 0.578 0.055
S 0.578 0.145 0.555
S 0.232 0.995 0.943
Na 0.718 0.282 0.750
Na 0.430 0.570 0.750
Na 0.570 0.430 0.250
Na 0.812 0.983 0.634
Na 0.983 0.812 0.134
Na 0.017 0.188 0.866
Na 0.282 0.718 0.250
Na 0.188 0.017 0.366
Zn 0.451 0.917 0.740
Zn 0.549 0.083 0.260
Zn 0.917 0.451 0.240
Zn 0.083 0.549 0.760
Zn 0.362 0.209 0.799
Zn 0.638 0.791 0.201
Zn 0.791 0.638 0.701
Zn 0.209 0.362 0.299



Entry 17:
First-principles (PBE) data for an optimized crystal structure of Na14Zn2S9, as listed in Alexandria via LeMat-Bulk.

Values from the calculation:
SG = P-3, No. 147
Crystal system = trigonal
Magnetic moment = 0.0000 μB/atom
Formation energy without anion corrections = -1035 meV/atom

a = 7.858 Å, b = 7.858 Å, c = 11.045 Å
α = 90.00°, β = 90.00°, γ = 120.00°
Element x y z (fractional)
Zn 0.333 0.667 0.261
Zn 0.667 0.333 0.739
Na 0.060 0.375 0.593
Na 0.375 0.315 0.407
Na 0.625 0.685 0.593
Na 0.327 0.355 0.909
Na 0.685 0.060 0.407
Na 0.028 0.673 0.909
Na 0.000 0.000 0.251
Na 0.315 0.940 0.593
Na 0.673 0.645 0.091
Na 0.000 0.000 0.749
Na 0.355 0.028 0.091
Na 0.940 0.625 0.407
Na 0.972 0.327 0.091
Na 0.645 0.972 0.909
S 0.638 0.696 0.336
S 0.667 0.333 0.959
S 0.333 0.667 0.041
S 0.942 0.638 0.664
S 0.000 0.000 0.000
S 0.304 0.942 0.336
S 0.058 0.362 0.336
S 0.696 0.058 0.664
S 0.362 0.304 0.664



Entry 18:
First-principles (PBE) data for an optimized crystal structure of NaZnS3, as listed in Alexandria via LeMat-Bulk.

Values from the calculation:
Distance to the lowest polymorph of the same formula = 4.368 eV/f.u.
SG = Pm-3m, No. 221
Crystal system = cubic
Magnetic moment = 0.6265 μB/atom
Formation energy without anion corrections = 912 meV/atom

a = 4.965 Å, b = 4.965 Å, c = 4.965 Å
α = 90.00°, β = 90.00°, γ = 90.00°
Element x y z (fractional)
Na 0.000 0.000 0.000
S 0.500 0.000 0.000
S 0.000 0.500 0.000
S 0.000 0.000 0.500
Zn 0.500 0.500 0.500